1.
The following is a DFT calculation (GGA-PBE) of crystalline Ba3Ag2 at its relaxed geometry.

- raw total energy (eV per atom) = -2.463
- distance to the lowest polymorph of the same formula (meV/atom) = 50.4
- space-group type = R-3c (167)
- V (Å³ per atom) = 45.7
- energy of formation from the pure elements (eV/atom) = -0.1691

Unit cell a=8.366 b=8.366 c=8.951 alpha=62.14 beta=62.14 gamma=60.00
Sites, in units of the cell vectors:
Ba  0.615  0.885  0.250
Ba  0.885  0.250  0.250
Ba  0.750  0.385  0.750
Ba  0.115  0.750  0.750
Ba  0.385  0.115  0.750
Ba  0.250  0.615  0.250
Ag  0.684  0.684  0.947
Ag  0.184  0.184  0.447
Ag  0.316  0.316  0.053
Ag  0.816  0.816  0.553

***

2.
The following is a DFT calculation (GGA-PBE) of crystalline BaAg2 at its relaxed geometry.

- raw total energy (eV per atom) = -2.763
- space-group type = C2/m (12)
- V (Å³ per atom) = 30.1
- energy of formation from the pure elements (eV/atom) = -0.2217

Unit cell a=7.857 b=7.857 c=6.512 alpha=52.61 beta=52.61 gamma=35.71
Sites, in units of the cell vectors:
Ag  0.637  0.637  0.603
Ag  0.085  0.085  0.452
Ag  0.263  0.263  0.526
Ag  0.459  0.459  0.530
Ba  0.968  0.968  0.115
Ba  0.754  0.754  0.941

***

3.
The following is a DFT calculation (GGA-PBE) of crystalline Ba3Ag2 at its relaxed geometry.

- raw total energy (eV per atom) = -2.462
- distance to the lowest polymorph of the same formula (meV/atom) = 51.9
- space-group type = P-3m1 (164)
- V (Å³ per atom) = 41.7
- energy of formation from the pure elements (eV/atom) = -0.1676

Unit cell a=5.818 b=5.818 c=7.119 alpha=90.00 beta=90.00 gamma=120.00
Sites, in units of the cell vectors:
Ba  0.333  0.667  0.327
Ba  0.000  0.000  0.000
Ba  0.667  0.333  0.673
Ag  0.333  0.667  0.824
Ag  0.667  0.333  0.176

***

4.
The following is a DFT calculation (GGA-PBE) of crystalline BaAg at its relaxed geometry.

- raw total energy (eV per atom) = -2.211
- space-group type = F-43m (216)
- V (Å³ per atom) = 54.3
- energy of formation from the pure elements (eV/atom) = 0.1755

Unit cell a=7.576 b=7.576 c=7.576 alpha=90.00 beta=90.00 gamma=90.00
Last column: magnetic moment on the atom in μB.
Sites, in units of the cell vectors:
Ba  0.500  0.000  0.500  0.11
Ba  0.000  0.500  0.500  0.11
Ba  0.500  0.500  0.000  0.11
Ba  0.000  0.000  0.000  0.11
Ag  0.750  0.250  0.750  0.03
Ag  0.250  0.750  0.750  0.03
Ag  0.250  0.250  0.250  0.03
Ag  0.750  0.750  0.250  0.03